(1)
DFT (PBE) results for a relaxed YBe2Ga2 crystal.

Computed properties:
As for the space group: No. 129. As for the size of the total moment: 0.00 μB per cell. The energy above the most stable polymorph in this dataset comes out at 0 meV per atom. The value obtained for the uncorrected energy is -4.376 eV per atom.

Cell and atoms, written as CIF:
```
data_YBe2Ga2
_space_group_name_H-M_alt 'P 1'
_space_group_IT_number 1
_space_group_name_Hall 'P 1'
_cell_length_a 3.950
_cell_length_b 3.950
_cell_length_c 9.853
_cell_angle_alpha 90.00
_cell_angle_beta 90.00
_cell_angle_gamma 90.00
loop_
_atom_site_label
_atom_site_fract_x
_atom_site_fract_y
_atom_site_fract_z
_atom_site_occupancy
Y1 0.250 0.250 0.245 1
Y2 0.750 0.750 0.755 1
Be1 0.250 0.250 0.639 1
Be2 0.250 0.750 0.000 1
Be3 0.750 0.250 0.000 1
Be4 0.750 0.750 0.361 1
Ga1 0.250 0.250 0.871 1
Ga2 0.250 0.750 0.500 1
Ga3 0.750 0.250 0.500 1
Ga4 0.750 0.750 0.129 1
```

***

(2)
DFT (PBE) results for a relaxed YBe2Ga2 crystal.

Computed properties:
As for the space group: No. 139. As for the size of the total moment: 0.00 μB per cell. The energy above the most stable polymorph in this dataset comes out at 27 meV per atom. The value obtained for the uncorrected energy is -4.349 eV per atom.

Cell and atoms, written as CIF:
```
data_YBe2Ga2
_space_group_name_H-M_alt 'P 1'
_space_group_IT_number 1
_space_group_name_Hall 'P 1'
_cell_length_a 5.679
_cell_length_b 5.679
_cell_length_c 5.679
_cell_angle_alpha 139.10
_cell_angle_beta 139.10
_cell_angle_gamma 59.23
loop_
_atom_site_label
_atom_site_fract_x
_atom_site_fract_y
_atom_site_fract_z
_atom_site_occupancy
Y1 0.000 0.000 0.000 1
Be1 0.250 0.750 0.500 1
Be2 0.750 0.250 0.500 1
Ga1 0.373 0.373 0.000 1
Ga2 0.627 0.627 0.000 1
```

***

(3)
DFT (PBE) results for a relaxed YBeGa crystal.

Computed properties:
As for the space group: No. 216. As for the size of the total moment: 0.00 μB per cell. The energy above the most stable polymorph in this dataset comes out at 135 meV per atom. The value obtained for the uncorrected energy is -4.705 eV per atom.

Cell and atoms, written as CIF:
```
data_YBeGa
_space_group_name_H-M_alt 'P 1'
_space_group_IT_number 1
_space_group_name_Hall 'P 1'
_cell_length_a 4.323
_cell_length_b 4.323
_cell_length_c 4.323
_cell_angle_alpha 60.00
_cell_angle_beta 60.00
_cell_angle_gamma 60.00
loop_
_atom_site_label
_atom_site_fract_x
_atom_site_fract_y
_atom_site_fract_z
_atom_site_occupancy
Y1 0.000 0.000 0.000 1
Be1 0.750 0.750 0.750 1
Ga1 0.500 0.500 0.500 1
```

***

(4)
DFT (PBE) results for a relaxed Be2ZnGa2 crystal.

Computed properties:
As for the space group: No. 127. As for the size of the total moment: 0.00 μB per cell. The value obtained for the uncorrected energy is -2.705 eV per atom.

Cell and atoms, written as CIF:
```
data_Be2ZnGa2
_space_group_name_H-M_alt 'P 1'
_space_group_IT_number 1
_space_group_name_Hall 'P 1'
_cell_length_a 6.056
_cell_length_b 6.056
_cell_length_c 3.716
_cell_angle_alpha 90.00
_cell_angle_beta 90.00
_cell_angle_gamma 90.00
loop_
_atom_site_label
_atom_site_fract_x
_atom_site_fract_y
_atom_site_fract_z
_atom_site_occupancy
Be1 0.129 0.371 0.000 1
Be2 0.371 0.871 0.000 1
Be3 0.629 0.129 0.000 1
Be4 0.871 0.629 0.000 1
Zn1 0.000 0.000 0.000 1
Zn2 0.500 0.500 0.000 1
Ga1 0.165 0.665 0.500 1
Ga2 0.335 0.165 0.500 1
Ga3 0.665 0.835 0.500 1
Ga4 0.835 0.335 0.500 1
```

***

(5)
DFT (PBE) results for a relaxed Be3ZnGa crystal.

Computed properties:
As for the space group: No. 221. As for the size of the total moment: 0.00 μB per cell. The energy above the most stable polymorph in this dataset comes out at 0 meV per atom. The value obtained for the uncorrected energy is -2.333 eV per atom.

Cell and atoms, written as CIF:
```
data_Be3ZnGa
_space_group_name_H-M_alt 'P 1'
_space_group_IT_number 1
_space_group_name_Hall 'P 1'
_cell_length_a 4.203
_cell_length_b 4.203
_cell_length_c 4.203
_cell_angle_alpha 90.00
_cell_angle_beta 90.00
_cell_angle_gamma 90.00
loop_
_atom_site_label
_atom_site_fract_x
_atom_site_fract_y
_atom_site_fract_z
_atom_site_occupancy
Be1 0.000 0.000 0.500 1
Be2 0.000 0.500 0.000 1
Be3 0.500 0.000 0.000 1
Zn1 0.000 0.000 0.000 1
Ga1 0.500 0.500 0.500 1
```

***

(6)
DFT (PBE) results for a relaxed BeZnGa2 crystal.

Computed properties:
As for the space group: No. 160. As for the size of the total moment: 0.00 μB per cell. The energy above the most stable polymorph in this dataset comes out at 0 meV per atom. The value obtained for the uncorrected energy is -2.605 eV per atom.

Cell and atoms, written as CIF:
```
data_BeZnGa2
_space_group_name_H-M_alt 'P 1'
_space_group_IT_number 1
_space_group_name_Hall 'P 1'
_cell_length_a 5.165
_cell_length_b 5.165
_cell_length_c 5.165
_cell_angle_alpha 45.30
_cell_angle_beta 45.30
_cell_angle_gamma 45.30
loop_
_atom_site_label
_atom_site_fract_x
_atom_site_fract_y
_atom_site_fract_z
_atom_site_occupancy
Be1 0.000 0.000 0.000 1
Zn1 0.174 0.174 0.174 1
Ga1 0.398 0.398 0.398 1
Ga2 0.607 0.607 0.607 1
```

***

(7)
DFT (PBE) results for a relaxed BeZnGa2 crystal.

Computed properties:
As for the space group: No. 122. As for the size of the total moment: 0.00 μB per cell. The energy above the most stable polymorph in this dataset comes out at 65 meV per atom. The value obtained for the uncorrected energy is -2.540 eV per atom.

Cell and atoms, written as CIF:
```
data_BeZnGa2
_space_group_name_H-M_alt 'P 1'
_space_group_IT_number 1
_space_group_name_Hall 'P 1'
_cell_length_a 8.577
_cell_length_b 8.577
_cell_length_c 8.577
_cell_angle_alpha 153.13
_cell_angle_beta 153.13
_cell_angle_gamma 38.37
loop_
_atom_site_label
_atom_site_fract_x
_atom_site_fract_y
_atom_site_fract_z
_atom_site_occupancy
Be1 0.000 0.000 0.000 1
Be2 0.750 0.250 0.500 1
Zn1 0.250 0.750 0.500 1
Zn2 0.500 0.500 0.000 1
Ga1 0.101 0.625 0.976 1
Ga2 0.375 0.351 0.476 1
Ga3 0.649 0.125 0.024 1
Ga4 0.875 0.899 0.524 1
```

***

(8)
DFT (PBE) results for a relaxed BeZnGa2 crystal.

Computed properties:
As for the space group: No. 225. As for the size of the total moment: 0.00 μB per cell. The energy above the most stable polymorph in this dataset comes out at 157 meV per atom. The value obtained for the uncorrected energy is -2.448 eV per atom.

Cell and atoms, written as CIF:
```
data_BeZnGa2
_space_group_name_H-M_alt 'P 1'
_space_group_IT_number 1
_space_group_name_Hall 'P 1'
_cell_length_a 4.433
_cell_length_b 4.433
_cell_length_c 4.433
_cell_angle_alpha 60.00
_cell_angle_beta 60.00
_cell_angle_gamma 60.00
loop_
_atom_site_label
_atom_site_fract_x
_atom_site_fract_y
_atom_site_fract_z
_atom_site_occupancy
Be1 0.000 0.000 0.000 1
Zn1 0.500 0.500 0.500 1
Ga1 0.250 0.250 0.250 1
Ga2 0.750 0.750 0.750 1
```

***

(9)
DFT (PBE) results for a relaxed BeZnGa2 crystal.

Computed properties:
As for the space group: No. 123. As for the size of the total moment: 0.00 μB per cell. The energy above the most stable polymorph in this dataset comes out at 89 meV per atom. The value obtained for the uncorrected energy is -2.515 eV per atom.

Cell and atoms, written as CIF:
```
data_BeZnGa2
_space_group_name_H-M_alt 'P 1'
_space_group_IT_number 1
_space_group_name_Hall 'P 1'
_cell_length_a 3.955
_cell_length_b 3.955
_cell_length_c 3.799
_cell_angle_alpha 90.00
_cell_angle_beta 90.00
_cell_angle_gamma 90.00
loop_
_atom_site_label
_atom_site_fract_x
_atom_site_fract_y
_atom_site_fract_z
_atom_site_occupancy
Be1 0.000 0.000 0.000 1
Zn1 0.500 0.500 0.000 1
Ga1 0.000 0.500 0.500 1
Ga2 0.500 0.000 0.500 1
```

***

(10)
DFT (PBE) results for a relaxed BeZnGa2 crystal.

Computed properties:
As for the space group: No. 166. As for the size of the total moment: 0.00 μB per cell. The energy above the most stable polymorph in this dataset comes out at 201 meV per atom. The value obtained for the uncorrected energy is -2.404 eV per atom.

Cell and atoms, written as CIF:
```
data_BeZnGa2
_space_group_name_H-M_alt 'P 1'
_space_group_IT_number 1
_space_group_name_Hall 'P 1'
_cell_length_a 9.584
_cell_length_b 9.584
_cell_length_c 9.584
_cell_angle_alpha 16.82
_cell_angle_beta 16.82
_cell_angle_gamma 16.82
loop_
_atom_site_label
_atom_site_fract_x
_atom_site_fract_y
_atom_site_fract_z
_atom_site_occupancy
Be1 0.000 0.000 0.000 1
Zn1 0.500 0.500 0.500 1
Ga1 0.083 0.083 0.083 1
Ga2 0.917 0.917 0.917 1
```

***

(11)
DFT (PBE) results for a relaxed BeZnGa crystal.

Computed properties:
As for the space group: No. 216. As for the size of the total moment: 0.00 μB per cell. The value obtained for the uncorrected energy is -2.556 eV per atom.

Cell and atoms, written as CIF:
```
data_BeZnGa
_space_group_name_H-M_alt 'P 1'
_space_group_IT_number 1
_space_group_name_Hall 'P 1'
_cell_length_a 3.940
_cell_length_b 3.940
_cell_length_c 3.940
_cell_angle_alpha 60.00
_cell_angle_beta 60.00
_cell_angle_gamma 60.00
loop_
_atom_site_label
_atom_site_fract_x
_atom_site_fract_y
_atom_site_fract_z
_atom_site_occupancy
Be1 0.000 0.000 0.000 1
Zn1 0.750 0.750 0.750 1
Ga1 0.250 0.250 0.250 1
```

***

(12)
DFT (PBE) results for a relaxed Be4ZnGa crystal.

Computed properties:
As for the space group: No. 216. As for the size of the total moment: 0.00 μB per cell. The value obtained for the uncorrected energy is -3.049 eV per atom.

Cell and atoms, written as CIF:
```
data_Be4ZnGa
_space_group_name_H-M_alt 'P 1'
_space_group_IT_number 1
_space_group_name_Hall 'P 1'
_cell_length_a 4.464
_cell_length_b 4.464
_cell_length_c 4.464
_cell_angle_alpha 60.00
_cell_angle_beta 60.00
_cell_angle_gamma 60.00
loop_
_atom_site_label
_atom_site_fract_x
_atom_site_fract_y
_atom_site_fract_z
_atom_site_occupancy
Be1 0.125 0.125 0.125 1
Be2 0.125 0.125 0.624 1
Be3 0.125 0.624 0.125 1
Be4 0.624 0.125 0.125 1
Zn1 0.500 0.500 0.500 1
Ga1 0.750 0.750 0.750 1
```